(1)
A plane-wave DFT calculation with PBE-GGA was carried out for a relaxed Dy2ErTm2 crystal.

abc: 4.959 6.068 11.085
angles: 89.96 90.09 114.12
Element x y z (fractional)
Er: 0.750 0.499 0.249
Er: 0.250 0.501 0.751
Tm: 0.050 0.100 0.350
Tm: 0.150 0.300 0.050
Tm: 0.950 0.900 0.650
Tm: 0.850 0.700 0.950
Dy: 0.350 0.700 0.450
Dy: 0.550 0.100 0.850
Dy: 0.650 0.300 0.550
Dy: 0.450 0.900 0.150

Properties
- space-group type = P-1
- N(E_F) (states/eV/cell) = 14.0
- E_tot (eV/atom) = -4.52
- calculated formation energy (meV per atom) = 23

(2)
A plane-wave DFT calculation with PBE-GGA was carried out for a relaxed Zr3Ti2Co4 crystal.

abc: 3.962 5.003 8.061
angles: 96.89 90.00 113.32
Element x y z (fractional)
Zr: 0.630 0.259 0.386
Zr: 0.370 0.741 0.614
Zr: 0.000 0.000 0.000
Co: 0.707 0.413 0.090
Co: 0.920 0.840 0.368
Co: 0.293 0.587 0.910
Co: 0.080 0.160 0.632
Ti: 0.676 0.353 0.790
Ti: 0.324 0.647 0.210

Properties
- space-group type = C2/m
- N(E_F) (states/eV/cell) = 7.8
- E_tot (eV/atom) = -8.04
- calculated formation energy (meV per atom) = -278

(3)
A plane-wave DFT calculation with PBE-GGA was carried out for a relaxed AlFe2Te crystal.

abc: 4.012 4.012 9.120
angles: 77.29 77.29 90.00
Last column: magnetic moment on the atom in μB.
Element x y z (fractional)
Al: 0.250 0.750 0.500  -0.04
Al: 0.500 0.500 0.000  -0.04
Fe: 0.568 0.125 0.250  2.41
Fe: 0.182 0.625 0.250  2.40
Fe: 0.375 0.432 0.750  2.46
Fe: 0.875 0.818 0.750  2.45
Te: 0.000 0.000 0.000  0.01
Te: 0.750 0.250 0.500  0.00

Properties
- space-group type = I-42d
- N(E_F) (states/eV/cell) = 4.6
- E_tot (eV/atom) = -5.59
- E_form (uncorrected) (eV per atom) = 0.36

(4)
A plane-wave DFT calculation with PBE-GGA was carried out for a relaxed CsYAu2O crystal.

abc: 5.923 4.363 5.923
angles: 90.00 90.00 90.00
Element x y z (fractional)
Y: 0.500 0.500 0.500
Au: 0.000 0.000 0.500
Au: 0.500 0.000 0.000
Cs: 0.000 0.000 0.000
O: 0.000 0.500 0.000

Properties
- space-group type = P4/mmm
- N(E_F) (states/eV/cell) = 3.6
- E_tot (eV/atom) = -3.25
- E_form (uncorrected) (eV per atom) = 0.51

(5)
A plane-wave DFT calculation with PBE-GGA was carried out for a relaxed Sm6Y2Er3Pu crystal.

abc: 6.200 6.200 11.754
angles: 95.05 95.05 120.01
Last column: magnetic moment on the atom in μB.
Element x y z (fractional)
Sm: 0.412 0.083 0.250  0.03
Sm: 0.247 0.247 0.750  0.02
Sm: 0.917 0.588 0.750  0.03
Sm: 0.753 0.753 0.250  0.02
Sm: 0.083 0.412 0.250  0.03
Sm: 0.588 0.917 0.750  0.03
Y: 0.667 0.333 0.000  0.11
Y: 0.333 0.667 0.000  0.11
Er: 0.167 0.833 0.500  -0.05
Er: 0.500 0.500 0.500  -0.06
Er: 0.833 0.167 0.500  -0.05
Pu: 0.000 0.000 0.000  5.61

Properties
- space-group type = C2/m
- N(E_F) (states/eV/cell) = 22.5
- E_tot (eV/atom) = -5.73
- calculated formation energy (meV per atom) = 47

(6)
A plane-wave DFT calculation with PBE-GGA was carried out for a relaxed BiPIO2 crystal.

abc: 4.225 4.225 7.170
angles: 90.00 90.00 90.00
Last column: magnetic moment on the atom in μB.
Element x y z (fractional)
Bi: 0.000 0.000 0.000  0.00
P: 0.500 0.500 0.500  0.52
O: 0.500 0.000 0.000  0.02
O: 0.000 0.500 0.000  0.02
I: 0.000 0.000 0.500  0.05

Properties
- space-group type = P4/mmm
- N(E_F) (states/eV/cell) = 2.0
- E_tot (eV/atom) = -3.99
- E_form (uncorrected) (eV per atom) = 0.16

(7)
A plane-wave DFT calculation with PBE-GGA was carried out for a relaxed Sm8DyMg2 crystal.

abc: 5.340 8.443 8.928
angles: 112.76 107.40 90.00
Element x y z (fractional)
Mg: 0.226 0.629 0.452
Mg: 0.774 0.371 0.548
Sm: 0.947 0.265 0.893
Sm: 0.599 0.466 0.198
Sm: 0.686 0.949 0.372
Sm: 0.053 0.735 0.107
Sm: 0.401 0.534 0.802
Sm: 0.854 0.799 0.708
Sm: 0.314 0.051 0.628
Sm: 0.146 0.201 0.292
Dy: 0.500 0.000 0.000

Properties
- space-group type = C2/m
- N(E_F) (states/eV/cell) = 15.5
- E_tot (eV/atom) = -4.13
- calculated formation energy (meV per atom) = 12

(8)
A plane-wave DFT calculation with PBE-GGA was carried out for a relaxed Tb2PrZn2In2 crystal.

abc: 4.747 4.747 9.672
angles: 75.79 75.79 60.00
Element x y z (fractional)
Pr: 0.000 0.000 0.000
Zn: 0.593 0.593 0.221
Zn: 0.407 0.407 0.779
In: 0.260 0.260 0.219
In: 0.740 0.740 0.781
Tb: 0.871 0.871 0.387
Tb: 0.129 0.129 0.613

Properties
- space-group type = R-3m
- N(E_F) (states/eV/cell) = 3.7
- E_tot (eV/atom) = -3.45
- calculated formation energy (meV per atom) = -296